1.
InNiW | PBE | relaxed

extended XYZ file:
```
3
Lattice="4.416 0.000 0.000 -2.208 3.824 0.000 0.000 0.000 2.835" Properties=species:S:1:pos:R:3 pbc="T T T"
W 0.000 2.549 1.800
Ni 2.208 1.275 0.687
In 0.000 0.000 0.348
```

Spin magnetization: 0.00 μB per formula unit
Formation enthalpy at 0 K: 0.4981 eV per atom
Crystal system: trigonal
V: 16.0 Å³/atom
Excess energy over the best structure of this formula in the dataset: 284 meV per atom

2.
Zr7Pa2Co2 | PBE | relaxed

extended XYZ file:
```
11
Lattice="-0.313 1.952 4.913 -4.224 -2.614 -1.837 0.409 -8.582 5.568" Properties=species:S:1:pos:R:3 pbc="T T T"
Co -0.975 -3.586 2.990
Co -3.153 -5.659 5.654
Zr -2.390 -2.482 0.961
Zr -1.032 -0.896 3.307
Zr 0.000 0.000 0.000
Zr -3.097 -8.348 5.338
Zr -3.464 -3.173 4.153
Zr -0.664 -6.071 4.491
Zr -1.738 -6.762 7.683
Pa -0.993 -3.372 6.171
Pa -3.135 -5.872 2.474
```

Spin magnetization: 0.00 μB per formula unit
Formation enthalpy at 0 K: -0.0257 eV per atom
Crystal system: monoclinic
V: 21.6 Å³/atom

3.
TlSi2As | PBE | relaxed

extended XYZ file:
```
4
Lattice="3.224 0.053 0.000 -1.264 2.966 0.000 0.000 0.000 8.641" Properties=species:S:1:pos:R:3 pbc="T T T"
Si 0.000 0.000 4.628
Si 0.000 0.000 8.334
Tl 0.980 1.510 2.160
As 0.980 1.510 6.481
```

Uncorrected formation energy: 0.57 eV per atom
Spin magnetization: 0.00 μB per formula unit
Crystal system: orthorhombic
V: 20.8 Å³/atom
Excess energy over the best structure of this formula in the dataset: 323 meV per atom

4.
CrTe4As | PBE | relaxed

extended XYZ file:
```
6
Lattice="3.822 0.000 0.000 0.000 6.090 -0.127 0.000 -0.191 7.155" Properties=species:S:1:pos:R:3 pbc="T T T"
Te 0.000 1.463 2.472
Te 0.000 4.437 4.556
Te 1.911 4.472 1.265
Te 1.911 1.428 5.762
As 0.000 0.000 0.000
Cr 1.911 -0.095 3.578
```

Uncorrected formation energy: -0.07 eV per atom
Spin magnetization: 2.00 μB per formula unit
Crystal system: monoclinic
V: 27.7 Å³/atom
Excess energy over the best structure of this formula in the dataset: 0 meV per atom

5.
K2PbCl4F2 | PBE | relaxed

extended XYZ file:
```
9
Lattice="-5.883 1.874 2.432 -1.004 -2.200 6.466 0.596 4.708 5.014" Properties=species:S:1:pos:R:3 pbc="T T T"
K -1.634 2.221 8.767
K -4.657 2.160 5.145
Cl -2.401 -0.056 6.072
Cl -1.604 3.384 5.349
Cl -3.890 4.437 7.840
Cl -4.687 0.997 8.563
F -4.980 3.526 11.285
F -1.312 0.856 2.627
Pb -2.942 0.937 1.216
```

Uncorrected formation energy: -1.65 eV per atom
Spin magnetization: 0.00 μB per formula unit
Crystal system: monoclinic
V: 28.0 Å³/atom

6.
PmTm2Cu9 | PBE | relaxed

extended XYZ file:
```
12
Lattice="-4.947 -1.397 0.735 -1.695 -4.579 -1.767 -0.162 -5.504 6.788" Properties=species:S:1:pos:R:3 pbc="T T T"
Tm -5.761 -7.484 2.030
Tm -1.043 -3.996 3.725
Cu -5.283 -4.563 1.633
Cu -3.148 -5.324 5.375
Cu -3.402 -5.740 2.878
Cu -1.520 -6.917 4.123
Cu -3.656 -6.155 0.380
Cu -2.807 -3.864 1.265
Cu -3.996 -7.616 4.491
Cu -4.595 -9.478 6.081
Cu -2.209 -2.001 -0.325
Pm 0.000 0.000 0.000
```

Spin magnetization: 0.00 μB per formula unit
Formation enthalpy at 0 K: -0.2088 eV per atom
Crystal system: trigonal
V: 16.0 Å³/atom

7.
SrLuAg2 | PBE | relaxed

extended XYZ file:
```
4
Lattice="-3.069 -0.819 -1.894 2.057 -1.483 -2.692 -0.338 -6.799 3.487" Properties=species:S:1:pos:R:3 pbc="T T T"
Ag -0.269 -5.401 2.770
Ag -0.070 -1.398 0.717
Lu -0.506 -1.151 -2.293
Sr -0.675 -4.550 -0.549
```

Spin magnetization: 0.00 μB per formula unit
Formation enthalpy at 0 K: -0.2882 eV per atom
Crystal system: tetragonal
V: 26.1 Å³/atom
Excess energy over the best structure of this formula in the dataset: 0 meV per atom

8.
U3In | PBE | relaxed

extended XYZ file:
```
4
Lattice="4.454 0.000 0.000 0.000 4.454 0.000 0.000 0.000 4.454" Properties=species:S:1:pos:R:3 pbc="T T T"
U 0.000 2.227 2.227
U 2.227 2.227 0.000
U 2.227 0.000 2.227
In 0.000 0.000 0.000
```

Spin magnetization: 0.80 μB per formula unit
Formation enthalpy at 0 K: 0.3225 eV per atom
Crystal system: cubic
V: 22.1 Å³/atom

> Which formula does entry 4 have?

CrTe4As

Repeat the third record exactly.
TlSi2As | PBE | relaxed

extended XYZ file:
```
4
Lattice="3.224 0.053 0.000 -1.264 2.966 0.000 0.000 0.000 8.641" Properties=species:S:1:pos:R:3 pbc="T T T"
Si 0.000 0.000 4.628
Si 0.000 0.000 8.334
Tl 0.980 1.510 2.160
As 0.980 1.510 6.481
```

Uncorrected formation energy: 0.57 eV per atom
Spin magnetization: 0.00 μB per formula unit
Crystal system: orthorhombic
V: 20.8 Å³/atom
Excess energy over the best structure of this formula in the dataset: 323 meV per atom

> V of number 2 (Zr7Pa2Co2)?

21.6 Å³/atom